# 1
DFT (GGA-PBE) results for BeBC after structural relaxation.

Output
Formation energy   109 meV/atom
E above lowest polymorph   0.107 eV per atom

abc: 3.594 2.743 4.759
angles: 90.00 111.85 90.00
Space group Pm (No. 6)
Symmetry-distinct sites (fractional):
Be 0.000 0.000 0.000
Be 0.422 0.500 0.353
B 0.313 0.000 0.748
B 0.853 0.500 0.245
C 0.145 0.500 0.599
C 0.577 0.000 0.115

# 2
DFT (GGA-PBE) results for BeBC after structural relaxation.

Output
Formation energy   159 meV/atom
E above lowest polymorph   0.158 eV per atom

abc: 2.759 2.766 3.467
angles: 68.76 67.21 60.18
Space group P1 (No. 1)
Symmetry-distinct sites (fractional):
Be 0.000 0.000 0.000
B 0.523 0.515 0.438
C 0.189 0.180 0.438

# 3
DFT (GGA-PBE) results for Be3BC after structural relaxation.

Output
Formation energy   1131 meV/atom
E above lowest polymorph   0.477 eV per atom

abc: 3.543 3.543 3.543
angles: 90.00 90.00 90.00
Space group Pm-3m (No. 221)
Symmetry-distinct sites (fractional):
Be 0.000 0.000 0.500
B 0.000 0.000 0.000
C 0.500 0.500 0.500

# 4
DFT (GGA-PBE) results for BeBC after structural relaxation.

Output
Formation energy   1 meV/atom
E above lowest polymorph   0.000 eV per atom

abc: 2.7439 2.7439 19.2694
angles: 90.00 90.00 120.00
Space group R3m (No. 160, hexagonal axes)
Symmetry-distinct sites (fractional):
Be 0.0000 0.0000 0.0000
Be 0.0000 0.0000 0.1844
B 0.0000 0.0000 0.4206
B 0.0000 0.0000 0.5956
C 0.0000 0.0000 0.0926
C 0.0000 0.0000 0.9051

# 5
DFT (GGA-PBE) results for BeBC after structural relaxation.

Output
Formation energy   115 meV/atom
E above lowest polymorph   0.114 eV per atom

abc: 2.745 3.619 4.787
angles: 99.47 90.17 111.71
Space group P1 (No. 1)
Symmetry-distinct sites (fractional):
Be 0.000 0.000 0.000
Be 0.148 0.301 0.433
B 0.299 0.594 0.115
B 0.849 0.702 0.621
C 0.341 0.682 0.788
C 0.874 0.746 0.298

# 6
DFT (GGA-PBE) results for BeBC after structural relaxation.

Output
Formation energy   36 meV/atom
E above lowest polymorph   0.035 eV per atom

abc: 2.685 3.226 5.741
angles: 97.17 91.18 112.52
Space group P-1 (No. 2)
Symmetry-distinct sites (fractional):
Be 0.175 0.336 0.116
B 0.445 0.888 0.355
C 0.113 0.232 0.785

# 7
DFT (GGA-PBE) results for BeBC after structural relaxation.

Output
Formation energy   107 meV/atom
E above lowest polymorph   0.106 eV per atom

abc: 2.7938 2.7938 3.3777
angles: 90.00 90.00 120.00
Space group P-6m2 (No. 187)
Symmetry-distinct sites (fractional):
Be 0.0000 0.0000 0.0000
B 0.3333 0.6667 0.5000
C 0.0000 0.0000 0.5000

# 8
DFT (GGA-PBE) results for BeCrB2C after structural relaxation.

Output
Formation energy   2446 meV/atom

abc: 3.816 3.816 4.116
angles: 90.00 90.00 90.00
Space group P4/mmm (No. 123)
Symmetry-distinct sites (fractional):
Be 0.000 0.000 0.000
Cr 0.000 0.000 0.500
B 0.000 0.500 0.500
C 0.500 0.500 0.000

# 9
DFT (GGA-PBE) results for BeGe2BC after structural relaxation.

Output
Formation energy   1449 meV/atom
E above lowest polymorph   0.000 eV per atom

abc: 4.619 4.619 3.177
angles: 90.00 90.00 90.00
Space group P4/mmm (No. 123)
Symmetry-distinct sites (fractional):
Be 0.000 0.000 0.000
Ge 0.000 0.500 0.000
B 0.500 0.500 0.500
C 0.000 0.000 0.500

# 10
DFT (GGA-PBE) results for BeGe2BC after structural relaxation.

Output
Formation energy   1678 meV/atom
E above lowest polymorph   0.229 eV per atom

abc: 4.473 4.473 3.354
angles: 90.00 90.00 90.00
Space group P4/mmm (No. 123)
Symmetry-distinct sites (fractional):
Be 0.000 0.000 0.000
Ge 0.000 0.500 0.000
B 0.000 0.000 0.500
C 0.500 0.500 0.500

# 11
DFT (GGA-PBE) results for BeHgB2C after structural relaxation.

Output
Formation energy   1471 meV/atom

abc: 3.844 3.844 3.485
angles: 90.00 90.00 90.00
Space group P4/mmm (No. 123)
Symmetry-distinct sites (fractional):
Be 0.000 0.000 0.000
Hg 0.500 0.500 0.000
B 0.000 0.500 0.500
C 0.000 0.000 0.500

# 12
DFT (GGA-PBE) results for BeNiBC2 after structural relaxation.

Output
Formation energy   2152 meV/atom

abc: 3.669 3.669 3.865
angles: 90.00 90.00 90.00
Space group P4/mmm (No. 123)
Symmetry-distinct sites (fractional):
Be 0.000 0.000 0.000
Ni 0.500 0.500 0.500
B 0.500 0.500 0.000
C 0.000 0.500 0.500

# 13
DFT (GGA-PBE) results for BeBSb2C after structural relaxation.

Output
ΔE_f (raw)   1657 meV per atom

abc: 4.915 4.915 3.388
angles: 90.00 90.00 90.00
Space group P4/mmm (No. 123)
Symmetry-distinct sites (fractional):
Be 0.000 0.000 0.000
B 0.000 0.000 0.500
Sb 0.000 0.500 0.000
C 0.500 0.500 0.500

# 14
DFT (GGA-PBE) results for SrBe2BC after structural relaxation.

Output
Formation energy   929 meV/atom

abc: 3.717 3.717 4.934
angles: 90.00 90.00 90.00
Space group P4/mmm (No. 123)
Symmetry-distinct sites (fractional):
Sr 0.000 0.000 0.000
Be 0.000 0.500 0.500
B 0.500 0.500 0.500
C 0.500 0.500 0.000

# 15
DFT (GGA-PBE) results for BeBTe2C after structural relaxation.

Output
ΔE_f (raw)   1512 meV per atom

abc: 5.169 5.169 3.243
angles: 90.00 90.00 90.00
Space group P4/mmm (No. 123)
Symmetry-distinct sites (fractional):
Be 0.000 0.000 0.000
B 0.500 0.500 0.500
Te 0.000 0.500 0.000
C 0.000 0.000 0.500

# 16
DFT (GGA-PBE) results for BeBW2C after structural relaxation.

Output
Formation energy   1469 meV/atom

abc: 4.207 4.207 3.083
angles: 90.00 90.00 90.00
Space group P4/mmm (No. 123)
Symmetry-distinct sites (fractional):
Be 0.000 0.000 0.000
B 0.000 0.000 0.500
W 0.000 0.500 0.000
C 0.500 0.500 0.500

# 17
DFT (GGA-PBE) results for CaBe2B after structural relaxation.

Output
Formation energy   226 meV/atom

abc: 4.281 4.281 12.582
angles: 90.00 90.00 90.00
Space group I4_1/amd (No. 141, origin choice 2)
Symmetry-distinct sites (fractional):
Ca 0.000 0.250 0.375
Be 0.000 0.000 0.000
B 0.000 0.250 0.875

# 18
DFT (GGA-PBE) results for CaBe3B after structural relaxation.

Output
Formation energy   2889 meV/atom
E above lowest polymorph   2.570 eV per atom

abc: 5.273 5.273 5.273
angles: 90.00 90.00 90.00
Space group Pm-3m (No. 221)
Symmetry-distinct sites (fractional):
Ca 0.000 0.000 0.000
Be 0.000 0.000 0.500
B 0.500 0.500 0.500

# 19
DFT (GGA-PBE) results for CaBeB14 after structural relaxation.

Output
Formation energy   -231 meV/atom

abc: 5.760 10.371 8.243
angles: 90.00 90.00 90.00
Space group Imma (No. 74)
Symmetry-distinct sites (fractional):
Ca 0.000 0.250 0.141
Be 0.250 0.250 0.750
B 0.000 0.090 0.668
B 0.000 0.156 0.865
B 0.000 0.166 0.469
B 0.161 0.058 0.339
B 0.246 0.081 0.953

# 20
DFT (GGA-PBE) results for Ca2BeB10 after structural relaxation.

Output
Formation energy   -304 meV/atom

abc: 5.596 10.979 4.179
angles: 90.00 90.00 90.00
Space group Pbam (No. 55)
Symmetry-distinct sites (fractional):
Ca 0.186 0.136 0.000
Be 0.000 0.500 0.500
B 0.021 0.315 0.500
B 0.126 0.958 0.500
B 0.171 0.801 0.500
B 0.193 0.388 0.201

Total magnetic moment for every record listed, in sequence, given in μB/f.u.: 0.00, 0.00, 0.00, 0.00, 0.00, 0.00, 0.00, 0.00, 0.00, 0.00, 0.00, 0.00, 0.00, 0.95, 0.00, 0.00, 0.00, 0.00, 0.00, 0.00.